No. 1
The following is a DFT calculation (PBE+U) of an optimized crystal structure of Co3IO.

Cell: 4.1198 4.1198 4.1198 Å, 90.00 90.00 90.00°
Closest atoms and distances in Å follow each position.
Sites, in units of the cell vectors:
O (0.0000, 0.0000, 0.0000)  6 Co 2.06
Co (0.5000, 0.0000, 0.0000)  2 O 2.06
Co (0.0000, 0.5000, 0.0000)  2 O 2.06
Co (0.0000, 0.0000, 0.5000)  2 O 2.06
I (0.5000, 0.5000, 0.5000)  12 Co 2.91

Results
Energy = -3.8852 eV per atom

No. 2
The following is a DFT calculation (PBE+U) of an optimized crystal structure of Co2IO.

Cell: 4.1345 4.1345 4.1345 Å, 60.00 60.00 60.00°
Closest atoms and distances in Å follow each position.
Sites, in units of the cell vectors:
I (0.5000, 0.5000, 0.5000)  8 Co 2.53
O (0.0000, 0.0000, 0.0000)  8 Co 2.53
Co (0.2500, 0.2500, 0.2500)  4 I 2.53, 4 O 2.53
Co (0.7500, 0.7500, 0.7500)  4 I 2.53, 4 O 2.53

Results
Offset from the most stable computed form = 1453 meV/atom

No. 3
The following is a DFT calculation (PBE+U) of an optimized crystal structure of CoI2O6.

Cell: 5.5113 5.5113 4.5290 Å, 90.00 90.00 120.00°
Closest atoms and distances in Å follow each position.
Sites, in units of the cell vectors:
I (0.3333, 0.6667, 0.5000)  6 O 2.14
O (0.6622, 0.0000, 0.7466)  2 I 2.14, 1 Co 2.19
O (0.0000, 0.3378, 0.2534)  2 I 2.14, 1 Co 2.19
Co (0.0000, 0.0000, 0.0000)  6 O 2.19
O (0.3378, 0.3378, 0.7466)  2 I 2.14, 1 Co 2.19
O (0.3378, 0.0000, 0.2534)  2 I 2.14, 1 Co 2.19
O (0.6622, 0.6622, 0.2534)  2 I 2.14, 1 Co 2.19
O (0.0000, 0.6622, 0.7466)  2 I 2.14, 1 Co 2.19
I (0.6667, 0.3333, 0.5000)  6 O 2.14

Results
Offset from the most stable computed form = 337 meV/atom

No. 4
The following is a DFT calculation (PBE+U) of an optimized crystal structure of CoPI2O.

Cell: 5.5343 5.5343 3.5774 Å, 90.00 90.00 90.00°
Closest atoms and distances in Å follow each position.
Sites, in units of the cell vectors:
Co (0.0000, 0.0000, 0.0000)  2 O 1.79
I (0.0000, 0.5000, 0.0000)  2 Co 2.77
I (0.5000, 0.0000, 0.0000)  2 Co 2.77
O (0.0000, 0.0000, 0.5000)  2 Co 1.79
P (0.5000, 0.5000, 0.5000)  8 I 3.29, 2 P 3.58

Results
Offset from the most stable computed form = 93 meV/atom

No. 5
The following is a DFT calculation (PBE+U) of an optimized crystal structure of CoPIO2.

Cell: 3.7326 3.7326 7.2836 Å, 90.00 90.00 90.00°
Closest atoms and distances in Å follow each position.
Sites, in units of the cell vectors:
O (0.0000, 0.5000, 0.0000)  2 Co 1.87
I (0.0000, 0.0000, 0.5000)  4 P 2.64
O (0.5000, 0.0000, 0.0000)  2 Co 1.87
P (0.5000, 0.5000, 0.5000)  4 I 2.64
Co (0.0000, 0.0000, 0.0000)  4 O 1.87

Results
Offset from the most stable computed form = 413 meV/atom

No. 6
The following is a DFT calculation (PBE+U) of an optimized crystal structure of CoPIO2.

Cell: 3.9380 3.9380 5.5642 Å, 90.00 90.00 90.00°
Closest atoms and distances in Å follow each position.
Sites, in units of the cell vectors:
O (0.0000, 0.5000, 0.0000)  2 I 1.97
Co (0.5000, 0.5000, 0.5000)  4 P 2.78
P (0.0000, 0.0000, 0.5000)  2 I 2.78, 4 Co 2.78
I (0.0000, 0.0000, 0.0000)  4 O 1.97
O (0.5000, 0.0000, 0.0000)  2 I 1.97

Results
Offset from the most stable computed form = 654 meV/atom

No. 7
The following is a DFT calculation (PBE+U) of an optimized crystal structure of CoPI2O.

Cell: 5.6123 5.6123 3.5583 Å, 90.00 90.00 90.00°
Closest atoms and distances in Å follow each position.
Sites, in units of the cell vectors:
O (0.0000, 0.0000, 0.5000)  2 P 1.78
Co (0.5000, 0.5000, 0.5000)  8 I 3.32, 2 Co 3.56
I (0.5000, 0.0000, 0.0000)  2 P 2.81
P (0.0000, 0.0000, 0.0000)  2 O 1.78
I (0.0000, 0.5000, 0.0000)  2 P 2.81

Results
Offset from the most stable computed form = 0 meV/atom

No. 8
The following is a DFT calculation (PBE+U) of an optimized crystal structure of CoP2IO.

Cell: 4.7791 4.7791 3.5711 Å, 90.00 90.00 90.00°
Closest atoms and distances in Å follow each position.
Sites, in units of the cell vectors:
P (0.0000, 0.5000, 0.0000)  2 Co 2.39
I (0.5000, 0.5000, 0.5000)  8 P 2.98
Co (0.0000, 0.0000, 0.0000)  2 O 1.79
O (0.0000, 0.0000, 0.5000)  2 Co 1.79
P (0.5000, 0.0000, 0.0000)  2 Co 2.39

Results
Offset from the most stable computed form = 0 meV/atom

No. 9
The following is a DFT calculation (PBE+U) of an optimized crystal structure of CoPIO2.

Cell: 3.7795 3.7795 5.3110 Å, 90.00 90.00 90.00°
Closest atoms and distances in Å follow each position.
Sites, in units of the cell vectors:
O (0.5000, 0.0000, 0.0000)  2 Co 1.89
I (0.5000, 0.5000, 0.5000)  4 P 2.67
P (0.0000, 0.0000, 0.5000)  2 Co 2.66, 4 I 2.67
O (0.0000, 0.5000, 0.0000)  2 Co 1.89
Co (0.0000, 0.0000, 0.0000)  4 O 1.89

Results
Offset from the most stable computed form = 376 meV/atom

No. 10
The following is a DFT calculation (PBE+U) of an optimized crystal structure of CoPIO2.

Cell: 3.5974 3.5974 6.4357 Å, 90.00 90.00 90.00°
Closest atoms and distances in Å follow each position.
Sites, in units of the cell vectors:
Co (0.5000, 0.5000, 0.5000)  4 I 2.54
O (0.5000, 0.0000, 0.0000)  2 P 1.80
O (0.0000, 0.5000, 0.0000)  2 P 1.80
P (0.0000, 0.0000, 0.0000)  4 O 1.80
I (0.0000, 0.0000, 0.5000)  4 Co 2.54

Results
Offset from the most stable computed form = 0 meV/atom

No. 11
The following is a DFT calculation (PBE+U) of an optimized crystal structure of CoP2IO.

Cell: 5.1487 5.1487 3.8894 Å, 90.00 90.00 90.00°
Closest atoms and distances in Å follow each position.
Sites, in units of the cell vectors:
P (0.0000, 0.5000, 0.0000)  2 I 2.57
P (0.5000, 0.0000, 0.0000)  2 I 2.57
Co (0.5000, 0.5000, 0.5000)  8 P 3.23
I (0.0000, 0.0000, 0.0000)  2 O 1.94
O (0.0000, 0.0000, 0.5000)  2 I 1.94

Results
Offset from the most stable computed form = 758 meV/atom

No. 12
The following is a DFT calculation (PBE+U) of an optimized crystal structure of PaCo2IO8.

Cell: 5.8830 5.8830 5.8830 Å, 108.75 108.75 110.92°
Closest atoms and distances in Å follow each position.
Sites, in units of the cell vectors:
O (0.9573, 0.6387, 0.6814)  1 Co 1.86
Co (0.7500, 0.2500, 0.5000)  4 O 1.86
O (0.5051, 0.6955, 0.8097)  1 Co 1.84
Pa (0.0000, 0.0000, 0.0000)  8 O 2.20-2.41
O (0.3613, 0.0427, 0.3186)  1 Co 1.86
O (0.3045, 0.4949, 0.1903)  1 Co 1.84
O (0.7241, 0.0427, 0.6814)  1 Co 1.86
O (0.8858, 0.6955, 0.1903)  1 Co 1.84
O (0.3045, 0.1142, 0.8097)  1 Co 1.84
I (0.2500, 0.7500, 0.5000)  8 O 2.15-2.31
Co (0.5000, 0.5000, 0.0000)  4 O 1.84
O (0.9573, 0.2759, 0.3186)  1 Co 1.86

Results
Energy = -6.4257 eV per atom

No. 13
The following is a DFT calculation (PBE+U) of an optimized crystal structure of CoPbI2O.

Cell: 6.2913 6.2913 4.2171 Å, 90.00 90.00 90.00°
Closest atoms and distances in Å follow each position.
Sites, in units of the cell vectors:
Pb (0.0000, 0.0000, 0.0000)  2 O 2.11
Co (0.5000, 0.5000, 0.5000)  8 I 3.79, 2 Co 4.22
O (0.0000, 0.0000, 0.5000)  2 Pb 2.11
I (0.0000, 0.5000, 0.0000)  2 Pb 3.15
I (0.5000, 0.0000, 0.0000)  2 Pb 3.15

Results
Energy = -3.0511 eV per atom

No. 14
The following is a DFT calculation (PBE+U) of an optimized crystal structure of PmCoIO6.

Cell: 5.1602 5.1602 5.1270 Å, 90.00 90.00 60.00°
Closest atoms and distances in Å follow each position.
Sites, in units of the cell vectors:
O (0.3728, 0.6403, 0.2850)  1 Co 1.93, 1 I 2.02
I (0.3333, 0.3333, 0.5000)  6 O 2.02
Pm (0.0000, 0.0000, 0.0000)  6 O 2.39
O (0.9868, 0.6404, 0.7150)  1 Co 1.93, 1 I 2.02
O (0.3727, 0.9869, 0.7150)  1 Co 1.93, 1 I 2.02
O (0.9868, 0.3728, 0.2850)  1 Co 1.93, 1 I 2.02
Co (0.6666, 0.6667, 0.5000)  6 O 1.93
O (0.6403, 0.3728, 0.7150)  1 Co 1.93, 1 I 2.02
O (0.6403, 0.9869, 0.2850)  1 Co 1.93, 1 I 2.02

Results
Energy = -5.8968 eV per atom

No. 15
The following is a DFT calculation (PBE+U) of an optimized crystal structure of PmCo2IO6.

Cell: 5.4418 5.4421 5.3460 Å, 59.41 59.41 60.00°
Closest atoms and distances in Å follow each position.
Sites, in units of the cell vectors:
Pm (0.7658, 0.7664, 0.7014)  3 O 2.29
I (0.2660, 0.2665, 0.2011)  3 O 2.23
O (0.6762, 0.2655, 0.2021)  2 Co 1.98
O (0.8570, 0.6755, 0.2022)  2 Co 1.98
Co (0.5145, 0.5144, 0.4566)  6 O 1.94-1.98
Co (0.0179, 0.0179, 0.9464)  6 O 1.94-1.98
O (0.1873, 0.3451, 0.7012)  2 Co 1.94
O (0.3444, 0.7664, 0.7013)  2 Co 1.94
O (0.2675, 0.8565, 0.2003)  2 Co 1.98
O (0.7651, 0.1875, 0.7027)  2 Co 1.94

Results
Energy = -5.7526 eV per atom

No. 16
The following is a DFT calculation (PBE+U) of an optimized crystal structure of CoPtI2O.

Cell: 5.4878 5.4878 3.4986 Å, 90.00 90.00 90.00°
Closest atoms and distances in Å follow each position.
Sites, in units of the cell vectors:
Pt (0.5000, 0.5000, 0.5000)  8 I 3.25, 2 Pt 3.50
O (0.0000, 0.0000, 0.5000)  2 Co 1.75
I (0.0000, 0.5000, 0.0000)  2 Co 2.74
Co (0.0000, 0.0000, 0.0000)  2 O 1.75
I (0.5000, 0.0000, 0.0000)  2 Co 2.74

Results
Offset from the most stable computed form = 0 meV/atom

No. 17
The following is a DFT calculation (PBE+U) of an optimized crystal structure of CoPtI2O.

Cell: 5.6494 5.6494 3.8267 Å, 90.00 90.00 90.00°
Closest atoms and distances in Å follow each position.
Sites, in units of the cell vectors:
I (0.5000, 0.0000, 0.0000)  2 Pt 2.82
Co (0.5000, 0.5000, 0.5000)  8 I 3.41
I (0.0000, 0.5000, 0.0000)  2 Pt 2.82
Pt (0.0000, 0.0000, 0.0000)  2 O 1.91
O (0.0000, 0.0000, 0.5000)  2 Pt 1.91

Results
Offset from the most stable computed form = 129 meV/atom

No. 18
The following is a DFT calculation (PBE+U) of an optimized crystal structure of PuCoIO6.

Cell: 5.5720 5.5720 8.9096 Å, 90.00 90.00 120.00°
Closest atoms and distances in Å follow each position.
Sites, in units of the cell vectors:
Pu (0.3333, 0.6667, 0.7500)  6 O 2.15
O (0.3405, 0.0045, 0.6284)  1 I 2.12, 1 Pu 2.15, 1 Co 2.21
Co (0.0000, 0.0000, 0.5000)  6 O 2.21
O (0.3405, 0.3360, 0.8716)  1 I 2.12, 1 Pu 2.15, 1 Co 2.21
O (0.9955, 0.3360, 0.6284)  1 I 2.12, 1 Pu 2.15, 1 Co 2.21
O (0.3360, 0.9955, 0.1284)  1 I 2.12, 1 Pu 2.15, 1 Co 2.21
O (0.9955, 0.6595, 0.8716)  1 I 2.12, 1 Pu 2.15, 1 Co 2.21
O (0.0045, 0.6640, 0.3716)  1 I 2.12, 1 Pu 2.15, 1 Co 2.21
O (0.6640, 0.0045, 0.8716)  1 I 2.12, 1 Pu 2.15, 1 Co 2.21
O (0.6595, 0.9955, 0.3716)  1 I 2.12, 1 Pu 2.15, 1 Co 2.21
O (0.6640, 0.6595, 0.6284)  1 I 2.12, 1 Pu 2.15, 1 Co 2.21
O (0.0045, 0.3405, 0.1284)  1 I 2.12, 1 Pu 2.15, 1 Co 2.21
O (0.3360, 0.3405, 0.3716)  1 I 2.12, 1 Pu 2.15, 1 Co 2.21
I (0.6667, 0.3333, 0.7500)  6 O 2.12
Pu (0.6667, 0.3333, 0.2500)  6 O 2.15
I (0.3333, 0.6667, 0.2500)  6 O 2.12
Co (0.0000, 0.0000, 0.0000)  6 O 2.21
O (0.6595, 0.6640, 0.1284)  1 I 2.12, 1 Pu 2.15, 1 Co 2.21

Results
Energy = -6.8625 eV per atom

No. 19
The following is a DFT calculation (PBE+U) of an optimized crystal structure of RbCoIO2.

Cell: 4.4165 4.4165 5.6849 Å, 90.00 90.00 90.00°
Closest atoms and distances in Å follow each position.
Sites, in units of the cell vectors:
Co (0.0000, 0.0000, 0.0000)  4 O 2.21
O (0.5000, 0.0000, 0.0000)  2 Co 2.21
Rb (0.5000, 0.5000, 0.5000)  4 I 3.12
O (0.0000, 0.5000, 0.0000)  2 Co 2.21
I (0.0000, 0.0000, 0.5000)  2 Co 2.84, 4 Rb 3.12

Results
Offset from the most stable computed form = 0 meV/atom

No. 20
The following is a DFT calculation (PBE+U) of an optimized crystal structure of RbCoIO2.

Cell: 4.4515 4.4515 6.9968 Å, 90.00 90.00 90.00°
Closest atoms and distances in Å follow each position.
Sites, in units of the cell vectors:
O (0.0000, 0.5000, 0.0000)  2 Rb 2.23
O (0.5000, 0.0000, 0.0000)  2 Rb 2.23
Rb (0.0000, 0.0000, 0.0000)  4 O 2.23
I (0.0000, 0.0000, 0.5000)  4 Co 3.15, 2 Rb 3.50
Co (0.5000, 0.5000, 0.5000)  4 I 3.15

Results
Offset from the most stable computed form = 1086 meV/atom